First-principles (PBE) data for an optimized crystal structure of SrCdIn2Pt, as listed in OQMD.

The space group is P4/nmm (No. 129, origin choice 2) and the conventional cell measures 4.647, 4.647 and 11.926 Å, with angles of 90.00, 90.00 and 90.00 degrees. The asymmetric unit holds Sr at (0.250, 0.250, 0.235), Cd at (0.250, 0.750, 0.500), In at (0.250, 0.250, 0.653), In at (0.250, 0.750, 0.000) and Pt at (0.250, 0.250, 0.876).

The calculated total energy comes out at -3.351 eV per atom.